1.
DFT (PBE) results for a relaxed Er4Tm3Al crystal.

Lattice parameters (Å, degrees): 3.4880 3.4880 18.7949 90.00 90.00 90.00
Fractional coordinates of all 8 atoms:
Er: 0.0000 0.0000 0.1017
Er: 0.0000 0.0000 0.3675
Er: 0.0000 0.0000 0.6325
Er: 0.0000 0.0000 0.8983
Tm: 0.5000 0.5000 0.2366
Tm: 0.5000 0.5000 0.5000
Tm: 0.5000 0.5000 0.7634
Al: 0.5000 0.5000 0.0000

- Symmetry: P4/mmm
- VASP energy: -36.07 eV per formula unit



2.
DFT (PBE) results for a relaxed ErTmAl crystal.

Lattice parameters (Å, degrees): 4.6859 4.6859 7.3815 90.00 90.00 90.00
Fractional coordinates of all 6 atoms:
Er: 0.2500 0.2500 0.2305
Er: 0.7500 0.7500 0.7695
Tm: 0.2500 0.2500 0.7614
Tm: 0.7500 0.7500 0.2386
Al: 0.2500 0.7500 0.5000
Al: 0.7500 0.2500 0.5000

- Symmetry: P4/nmm
- VASP energy: -12.97 eV per formula unit
- Energy above the lowest structure with this stoichiometry: 0.201 eV per atom



3.
DFT (PBE) results for a relaxed ErTm3Al2 crystal.

Lattice parameters (Å, degrees): 5.0312 9.3307 6.4811 90.00 90.00 90.00
Fractional coordinates of all 12 atoms:
Er: 0.0000 0.0398 0.0000
Er: 0.0000 0.9602 0.5000
Tm: 0.0000 0.3220 0.6555
Tm: 0.0000 0.6780 0.1555
Tm: 0.5000 0.1794 0.2864
Tm: 0.5000 0.4597 0.9420
Tm: 0.5000 0.5403 0.4420
Tm: 0.5000 0.8206 0.7864
Al: 0.0000 0.3540 0.1779
Al: 0.0000 0.6460 0.6779
Al: 0.5000 0.1461 0.7635
Al: 0.5000 0.8539 0.2635

- Symmetry: Pmc2_1
- VASP energy: -27.25 eV per formula unit
- Energy above the lowest structure with this stoichiometry: 0.000 eV per atom



4.
DFT (PBE) results for a relaxed Er4TmAl2 crystal.

Lattice parameters (Å, degrees): 5.9850 10.2490 6.7134 90.00 111.62 90.00
Fractional coordinates of all 14 atoms:
Er: 0.0010 0.1611 0.0000
Er: 0.0010 0.3389 0.5000
Er: 0.4990 0.7103 0.9997
Er: 0.4990 0.7897 0.4997
Er: 0.5010 0.2103 0.5003
Er: 0.5010 0.2897 0.0003
Er: 0.9990 0.6611 0.5000
Er: 0.9990 0.8389 0.0000
Tm: 0.0000 0.0000 0.5000
Tm: 0.0000 0.5000 0.0000
Al: 0.4803 0.9998 0.1836
Al: 0.4803 0.5002 0.6836
Al: 0.5197 0.0002 0.8164
Al: 0.5197 0.4998 0.3164

- Symmetry: P2_1/c
- VASP energy: -30.71 eV per formula unit
- Energy above the lowest structure with this stoichiometry: 0.000 eV per atom



5.
DFT (PBE) results for a relaxed Er3TmAl8 crystal.

Lattice parameters (Å, degrees): 5.5179 5.5179 9.0400 90.00 90.00 120.00
Fractional coordinates of all 12 atoms:
Er: 0.0000 0.0000 0.0000
Er: 0.0000 0.0000 0.3652
Er: 0.3333 0.6667 0.8649
Tm: 0.3333 0.6667 0.4997
Al: 0.0093 0.5046 0.1826
Al: 0.3240 0.1620 0.6821
Al: 0.4954 0.5046 0.1826
Al: 0.4954 0.9907 0.1826
Al: 0.6667 0.3333 0.4326
Al: 0.6667 0.3333 0.9322
Al: 0.8380 0.1620 0.6821
Al: 0.8380 0.6760 0.6821

- Symmetry: P3m1
- VASP energy: -54.08 eV per formula unit
- Energy above the lowest structure with this stoichiometry: 0.009 eV per atom



6.
DFT (PBE) results for a relaxed ErTm4Al2 crystal.

Lattice parameters (Å, degrees): 5.5674 5.5674 12.5991 90.00 90.00 90.00
Fractional coordinates of all 14 atoms:
Er: 0.0000 0.0000 0.0000
Er: 0.5000 0.5000 0.5000
Tm: 0.0000 0.5000 0.0000
Tm: 0.0000 0.5000 0.2500
Tm: 0.0000 0.5000 0.5000
Tm: 0.0000 0.5000 0.7500
Tm: 0.5000 0.0000 0.0000
Tm: 0.5000 0.0000 0.2500
Tm: 0.5000 0.0000 0.5000
Tm: 0.5000 0.0000 0.7500
Al: 0.0000 0.0000 0.3840
Al: 0.0000 0.0000 0.6160
Al: 0.5000 0.5000 0.1160
Al: 0.5000 0.5000 0.8840

- Symmetry: I4/mmm
- VASP energy: -27.72 eV per formula unit
- Energy above the lowest structure with this stoichiometry: 0.390 eV per atom



7.
DFT (PBE) results for a relaxed ErTm2Al crystal.

Lattice parameters (Å, degrees): 4.6955 4.6955 4.7044 90.00 90.00 90.00
Fractional coordinates of all 4 atoms:
Er: 0.0000 0.0000 0.0000
Tm: 0.0000 0.5000 0.5000
Tm: 0.5000 0.0000 0.5000
Al: 0.5000 0.5000 0.0000

- Symmetry: P4/mmm
- VASP energy: -18.04 eV per formula unit
- Energy above the lowest structure with this stoichiometry: 0.000 eV per atom



8.
DFT (PBE) results for a relaxed Er5TmAl2 crystal.

Lattice parameters (Å, degrees): 3.4653 10.1580 12.3841 90.00 90.00 90.00
Fractional coordinates of all 16 atoms:
Er: 0.0000 0.0000 0.0000
Er: 0.0000 0.2720 0.3640
Er: 0.0000 0.2720 0.6360
Er: 0.0000 0.7280 0.3640
Er: 0.0000 0.7280 0.6360
Er: 0.5000 0.2280 0.1360
Er: 0.5000 0.2280 0.8640
Er: 0.5000 0.5000 0.5000
Er: 0.5000 0.7720 0.1360
Er: 0.5000 0.7720 0.8640
Tm: 0.0000 0.5000 0.0000
Tm: 0.5000 0.0000 0.5000
Al: 0.0000 0.0000 0.2586
Al: 0.0000 0.0000 0.7414
Al: 0.5000 0.5000 0.2414
Al: 0.5000 0.5000 0.7586

- Symmetry: Immm
- VASP energy: -35.49 eV per formula unit